MnO2 | PBE with a Hubbard U | optimized geometry

## Properties
calculated total energy: -6.9770 eV/atom
crystal system: monoclinic

Lattice parameters (Å, degrees): 12.129 3.829 6.319 90.00 108.27 90.00
Space group C2/m (No. 12)
One atom of each set of equivalent atoms:
Mn1 0.106 0.000 0.202 (multiplicity 4)
Mn2 0.198 0.000 0.792 (multiplicity 4)
O1 0.060 0.000 0.879 (multiplicity 4)
O2 0.117 0.000 0.503 (multiplicity 4)
O3 0.146 0.500 0.221 (multiplicity 4)
O4 0.236 0.500 0.845 (multiplicity 4)